1.
The following is a PBE calculation of a relaxed structure of KCo5, from Alexandria via LeMat-Bulk.

Cell: 3.981 9.340 9.340 Å, 15.74 90.00 90.00°
Element x y z (fractional)
K (0.000, 0.000, 0.000)
Co (0.000, 0.322, 0.322)
Co (0.000, 0.703, 0.703)
Co (0.500, 0.245, 0.245)
Co (0.500, 0.634, 0.634)
Co (0.500, 0.857, 0.857)

- Offset from the most stable computed form: 0.000 eV per atom
- Formation enthalpy at 0 K: 0.4645 eV per atom
- Calculated volume: 94.2 Å³/cell
- D(E_F): 5.72 states/eV/f.u.

---

2.
The following is a PBE calculation of a relaxed structure of Ce4PaZn, from Alexandria via LeMat-Bulk.

Cell: 3.299 3.299 13.783 Å, 90.00 90.00 90.00°
Element x y z (fractional)
Ce (0.000, 0.000, 0.153)
Ce (0.000, 0.000, 0.847)
Ce (0.500, 0.500, 0.331)
Ce (0.500, 0.500, 0.669)
Pa (0.000, 0.000, 0.500)
Zn (0.500, 0.500, 0.000)

- Formation enthalpy at 0 K: -0.0127 eV per atom
- Calculated volume: 150.0 Å³/cell
- D(E_F): 14.27 states/eV/f.u.

---

Question: Among the records above, which one has the lowest calculated volume?
Answer: KCo5